Entry from Alexandria: an optimized crystal structure of TaTiAlMo (PBE-GGA).

Cell and atoms, written as extended XYZ:
```
4
Lattice="0.000 3.204 3.204 3.204 0.000 3.204 3.204 3.204 0.000" Properties=species:S:1:pos:R:3 pbc="T T T"
Ta 0.000 0.000 0.000
Ti 3.204 3.204 3.204
Al 1.602 1.602 1.602
Mo 4.806 4.806 4.806
```

Properties
Its calculated total energy is -8.8101 eV per atom. The formation energy is -0.23 eV per atom. Its size of the total moment is 0.00 μB/cell. Its energy above the lowest structure with this stoichiometry is 56 meV/atom. The density of states at the Fermi level comes out at 1.745 states/eV/cell. Its symmetry is F-43m, No. 216.